[1]
The following is a meta-GGA SCAN calculation of BHPb2O4 at its PBEsol-relaxed geometry, from the Alexandria database.

Values from the calculation:
D(E_F) = 0.00 states/eV/f.u.
VASP energy = -25.06 eV per atom

Cell lengths 7.038, 7.038, 7.336 Å; angles 114.38, 114.38, 47.32 degrees
Fractional positions:
B (0.169, 0.169, 0.153)
B (0.831, 0.831, 0.847)
H (0.034, 0.034, 0.873)
H (0.966, 0.966, 0.127)
Pb (0.157, 0.157, 0.579)
Pb (0.444, 0.444, 0.231)
Pb (0.556, 0.556, 0.769)
Pb (0.843, 0.843, 0.421)
O (0.091, 0.091, 0.232)
O (0.126, 0.126, 0.940)
O (0.245, 0.755, 0.500)
O (0.286, 0.286, 0.281)
O (0.714, 0.714, 0.719)
O (0.755, 0.245, 0.500)
O (0.874, 0.874, 0.060)
O (0.909, 0.909, 0.768)

[2]
The following is a meta-GGA SCAN calculation of Rb2B10H6O19 at its PBEsol-relaxed geometry, from the Alexandria database.

Values from the calculation:
D(E_F) = 0.00 states/eV/f.u.
VASP energy = -9.15 eV per atom

Cell lengths 7.581, 9.199, 11.901 Å; angles 99.78, 105.94, 91.12 degrees
Fractional positions:
Rb (0.015, 0.454, 0.246)
Rb (0.414, 0.230, 0.712)
Rb (0.586, 0.770, 0.288)
Rb (0.985, 0.546, 0.754)
B (0.078, 0.837, 0.440)
B (0.089, 0.145, 0.973)
B (0.090, 0.838, 0.234)
B (0.129, 0.670, 0.057)
B (0.273, 0.021, 0.406)
B (0.317, 0.547, 0.560)
B (0.323, 0.453, 0.055)
B (0.457, 0.251, 0.402)
B (0.488, 0.748, 0.975)
B (0.499, 0.644, 0.768)
B (0.501, 0.356, 0.232)
B (0.512, 0.252, 0.025)
B (0.543, 0.749, 0.598)
B (0.677, 0.547, 0.945)
B (0.683, 0.453, 0.440)
B (0.727, 0.979, 0.594)
B (0.871, 0.330, 0.943)
B (0.910, 0.162, 0.766)
B (0.911, 0.855, 0.027)
B (0.922, 0.163, 0.560)
H (0.070, 0.810, 0.608)
H (0.100, 0.942, 0.783)
H (0.123, 0.368, 0.497)
H (0.243, 0.815, 0.783)
H (0.247, 0.117, 0.134)
H (0.352, 0.925, 0.033)
H (0.648, 0.075, 0.967)
H (0.753, 0.883, 0.866)
H (0.757, 0.185, 0.217)
H (0.877, 0.632, 0.503)
H (0.900, 0.058, 0.217)
H (0.930, 0.190, 0.392)
O (0.001, 0.740, 0.979)
O (0.010, 0.787, 0.321)
O (0.018, 0.768, 0.517)
O (0.056, 0.102, 0.854)
O (0.121, 0.845, 0.738)
O (0.169, 0.712, 0.176)
O (0.199, 0.445, 0.476)
O (0.203, 0.551, 0.003)
O (0.204, 0.960, 0.485)
O (0.217, 0.075, 0.048)
O (0.236, 0.956, 0.290)
O (0.348, 0.551, 0.679)
O (0.371, 0.455, 0.173)
O (0.386, 0.148, 0.453)
O (0.386, 0.351, 0.978)
O (0.404, 0.256, 0.284)
O (0.408, 0.650, 0.518)
O (0.421, 0.737, 0.855)
O (0.436, 0.847, 0.057)
O (0.564, 0.153, 0.943)
O (0.579, 0.263, 0.145)
O (0.592, 0.350, 0.482)
O (0.596, 0.744, 0.716)
O (0.614, 0.649, 0.022)
O (0.614, 0.852, 0.547)
O (0.629, 0.545, 0.827)
O (0.652, 0.449, 0.321)
O (0.764, 0.044, 0.710)
O (0.783, 0.925, 0.952)
O (0.796, 0.040, 0.515)
O (0.797, 0.449, 0.997)
O (0.801, 0.555, 0.524)
O (0.831, 0.288, 0.824)
O (0.879, 0.155, 0.262)
O (0.944, 0.898, 0.146)
O (0.982, 0.232, 0.483)
O (0.990, 0.213, 0.679)
O (0.999, 0.260, 0.021)

Copy entry 2 word for word.
The following is a meta-GGA SCAN calculation of Rb2B10H6O19 at its PBEsol-relaxed geometry, from the Alexandria database.

Values from the calculation:
D(E_F) = 0.00 states/eV/f.u.
VASP energy = -9.15 eV per atom

Cell lengths 7.581, 9.199, 11.901 Å; angles 99.78, 105.94, 91.12 degrees
Fractional positions:
Rb (0.015, 0.454, 0.246)
Rb (0.414, 0.230, 0.712)
Rb (0.586, 0.770, 0.288)
Rb (0.985, 0.546, 0.754)
B (0.078, 0.837, 0.440)
B (0.089, 0.145, 0.973)
B (0.090, 0.838, 0.234)
B (0.129, 0.670, 0.057)
B (0.273, 0.021, 0.406)
B (0.317, 0.547, 0.560)
B (0.323, 0.453, 0.055)
B (0.457, 0.251, 0.402)
B (0.488, 0.748, 0.975)
B (0.499, 0.644, 0.768)
B (0.501, 0.356, 0.232)
B (0.512, 0.252, 0.025)
B (0.543, 0.749, 0.598)
B (0.677, 0.547, 0.945)
B (0.683, 0.453, 0.440)
B (0.727, 0.979, 0.594)
B (0.871, 0.330, 0.943)
B (0.910, 0.162, 0.766)
B (0.911, 0.855, 0.027)
B (0.922, 0.163, 0.560)
H (0.070, 0.810, 0.608)
H (0.100, 0.942, 0.783)
H (0.123, 0.368, 0.497)
H (0.243, 0.815, 0.783)
H (0.247, 0.117, 0.134)
H (0.352, 0.925, 0.033)
H (0.648, 0.075, 0.967)
H (0.753, 0.883, 0.866)
H (0.757, 0.185, 0.217)
H (0.877, 0.632, 0.503)
H (0.900, 0.058, 0.217)
H (0.930, 0.190, 0.392)
O (0.001, 0.740, 0.979)
O (0.010, 0.787, 0.321)
O (0.018, 0.768, 0.517)
O (0.056, 0.102, 0.854)
O (0.121, 0.845, 0.738)
O (0.169, 0.712, 0.176)
O (0.199, 0.445, 0.476)
O (0.203, 0.551, 0.003)
O (0.204, 0.960, 0.485)
O (0.217, 0.075, 0.048)
O (0.236, 0.956, 0.290)
O (0.348, 0.551, 0.679)
O (0.371, 0.455, 0.173)
O (0.386, 0.148, 0.453)
O (0.386, 0.351, 0.978)
O (0.404, 0.256, 0.284)
O (0.408, 0.650, 0.518)
O (0.421, 0.737, 0.855)
O (0.436, 0.847, 0.057)
O (0.564, 0.153, 0.943)
O (0.579, 0.263, 0.145)
O (0.592, 0.350, 0.482)
O (0.596, 0.744, 0.716)
O (0.614, 0.649, 0.022)
O (0.614, 0.852, 0.547)
O (0.629, 0.545, 0.827)
O (0.652, 0.449, 0.321)
O (0.764, 0.044, 0.710)
O (0.783, 0.925, 0.952)
O (0.796, 0.040, 0.515)
O (0.797, 0.449, 0.997)
O (0.801, 0.555, 0.524)
O (0.831, 0.288, 0.824)
O (0.879, 0.155, 0.262)
O (0.944, 0.898, 0.146)
O (0.982, 0.232, 0.483)
O (0.990, 0.213, 0.679)
O (0.999, 0.260, 0.021)

Which value of D(E_F) does entry 2 give?
0.00 states/eV/f.u.

What did the second record say?
The following is a meta-GGA SCAN calculation of Rb2B10H6O19 at its PBEsol-relaxed geometry, from the Alexandria database.

Values from the calculation:
D(E_F) = 0.00 states/eV/f.u.
VASP energy = -9.15 eV per atom

Cell lengths 7.581, 9.199, 11.901 Å; angles 99.78, 105.94, 91.12 degrees
Fractional positions:
Rb (0.015, 0.454, 0.246)
Rb (0.414, 0.230, 0.712)
Rb (0.586, 0.770, 0.288)
Rb (0.985, 0.546, 0.754)
B (0.078, 0.837, 0.440)
B (0.089, 0.145, 0.973)
B (0.090, 0.838, 0.234)
B (0.129, 0.670, 0.057)
B (0.273, 0.021, 0.406)
B (0.317, 0.547, 0.560)
B (0.323, 0.453, 0.055)
B (0.457, 0.251, 0.402)
B (0.488, 0.748, 0.975)
B (0.499, 0.644, 0.768)
B (0.501, 0.356, 0.232)
B (0.512, 0.252, 0.025)
B (0.543, 0.749, 0.598)
B (0.677, 0.547, 0.945)
B (0.683, 0.453, 0.440)
B (0.727, 0.979, 0.594)
B (0.871, 0.330, 0.943)
B (0.910, 0.162, 0.766)
B (0.911, 0.855, 0.027)
B (0.922, 0.163, 0.560)
H (0.070, 0.810, 0.608)
H (0.100, 0.942, 0.783)
H (0.123, 0.368, 0.497)
H (0.243, 0.815, 0.783)
H (0.247, 0.117, 0.134)
H (0.352, 0.925, 0.033)
H (0.648, 0.075, 0.967)
H (0.753, 0.883, 0.866)
H (0.757, 0.185, 0.217)
H (0.877, 0.632, 0.503)
H (0.900, 0.058, 0.217)
H (0.930, 0.190, 0.392)
O (0.001, 0.740, 0.979)
O (0.010, 0.787, 0.321)
O (0.018, 0.768, 0.517)
O (0.056, 0.102, 0.854)
O (0.121, 0.845, 0.738)
O (0.169, 0.712, 0.176)
O (0.199, 0.445, 0.476)
O (0.203, 0.551, 0.003)
O (0.204, 0.960, 0.485)
O (0.217, 0.075, 0.048)
O (0.236, 0.956, 0.290)
O (0.348, 0.551, 0.679)
O (0.371, 0.455, 0.173)
O (0.386, 0.148, 0.453)
O (0.386, 0.351, 0.978)
O (0.404, 0.256, 0.284)
O (0.408, 0.650, 0.518)
O (0.421, 0.737, 0.855)
O (0.436, 0.847, 0.057)
O (0.564, 0.153, 0.943)
O (0.579, 0.263, 0.145)
O (0.592, 0.350, 0.482)
O (0.596, 0.744, 0.716)
O (0.614, 0.649, 0.022)
O (0.614, 0.852, 0.547)
O (0.629, 0.545, 0.827)
O (0.652, 0.449, 0.321)
O (0.764, 0.044, 0.710)
O (0.783, 0.925, 0.952)
O (0.796, 0.040, 0.515)
O (0.797, 0.449, 0.997)
O (0.801, 0.555, 0.524)
O (0.831, 0.288, 0.824)
O (0.879, 0.155, 0.262)
O (0.944, 0.898, 0.146)
O (0.982, 0.232, 0.483)
O (0.990, 0.213, 0.679)
O (0.999, 0.260, 0.021)